The following is a DFT calculation (PBE) of a relaxed structure of UZn2.

## Properties
Space-group type = Cmcm (63)
Total magnetic moment = 0.6 μB per formula unit
E_form = -9 meV/atom

Cell: 15.8502 2.7687 4.5935 Å, 90.00 90.00 90.00°
With the nearest neighbours (Å) after each atom.
Sites, in units of the cell vectors:
U 0.6834 0.0000 0.0000  4 U 2.61-2.77
U 0.1833 0.5000 0.0000  4 U 2.61-2.77
U 0.7611 0.0000 0.5000  4 U 2.61-2.77
U 0.2610 0.5000 0.5000  4 U 2.61-2.77
Zn 0.0040 0.0000 0.0000  10 Zn 2.65-2.86
Zn 0.3575 0.0000 0.0000  6 Zn 2.65-2.77
Zn 0.5041 0.5000 0.0000  10 Zn 2.65-2.87
Zn 0.8576 0.5000 0.0000  6 Zn 2.65-2.77
Zn 0.0869 0.0000 0.5000  6 Zn 2.65-2.77
Zn 0.4404 0.0000 0.5000  10 Zn 2.65-2.87
Zn 0.5870 0.5000 0.5000  6 Zn 2.65-2.77
Zn 0.9404 0.5000 0.5000  10 Zn 2.65-2.86